Record 1
This record from the Alexandria database describes a relaxed structure of AcScVO6. The functional is PBE with a Hubbard U.

a = 5.2516 Å, b = 5.3193 Å, c = 5.3222 Å
α = 119.84°, β = 90.24°, γ = 90.27°
Fractional coordinates of all 9 atoms:
Ac 0.0000 0.0000 0.0000
Sc 0.4990 0.3310 0.6693
V 0.5001 0.6718 0.3275
O 0.2893 0.3879 0.3670
O 0.2913 0.6358 0.0283
O 0.2955 0.9669 0.6155
O 0.7030 0.3843 0.0333
O 0.7073 0.9722 0.3641
O 0.7086 0.6345 0.6132

## Properties
The total energy is -7.8770 eV per atom. Its total magnetization is 1.1 μB/f.u. Its density of states at the Fermi level is 0.734 states/eV per atom.

***

Record 2
This record from the Alexandria database describes a relaxed structure of AcSc2WO8. The functional is PBE with a Hubbard U.

a = 4.8416 Å, b = 4.8416 Å, c = 7.0157 Å
α = 90.00°, β = 90.00°, γ = 90.04°
Fractional coordinates of all 12 atoms:
Ac 0.0000 0.0000 0.0000
Sc 0.5000 0.5000 0.2745
Sc 0.5000 0.5000 0.7255
W 0.0000 0.0000 0.5000
O 0.1951 0.8049 0.2986
O 0.1951 0.8049 0.7014
O 0.2898 0.2898 0.5000
O 0.3429 0.3429 0.0000
O 0.6571 0.6571 0.0000
O 0.7102 0.7102 0.5000
O 0.8049 0.1951 0.2986
O 0.8049 0.1951 0.7014

## Properties
The total energy is -8.0888 eV per atom. Its total magnetization is 0.2 μB/f.u. Its density of states at the Fermi level is 0.123 states/eV per atom.

***

Record 3
This record from the Alexandria database describes a relaxed structure of Ac2ScWO6. The functional is PBE with a Hubbard U.

a = 5.8321 Å, b = 8.3210 Å, c = 5.9640 Å
α = 90.00°, β = 90.00°, γ = 90.00°
Fractional coordinates of all 20 atoms:
Ac 0.2500 0.0130 0.2286
Ac 0.2500 0.4870 0.2286
Ac 0.7500 0.5130 0.7714
Ac 0.7500 0.9870 0.7714
Sc 0.2500 0.7500 0.7473
Sc 0.7500 0.2500 0.2527
W 0.2500 0.2500 0.7453
W 0.7500 0.7500 0.2547
O 0.0050 0.2500 0.0069
O 0.0078 0.2500 0.4820
O 0.2500 0.5031 0.7781
O 0.2500 0.9969 0.7781
O 0.4922 0.2500 0.4820
O 0.4950 0.2500 0.0069
O 0.5050 0.7500 0.9931
O 0.5078 0.7500 0.5180
O 0.7500 0.0031 0.2219
O 0.7500 0.4969 0.2219
O 0.9922 0.7500 0.5180
O 0.9950 0.7500 0.9931

## Properties
The total energy is -8.0902 eV per atom. Its total magnetization is 3.0 μB/f.u.

***

Record 4
This record from the Alexandria database describes a relaxed structure of Ac2ScWO8. The functional is PBE with a Hubbard U.

a = 5.3007 Å, b = 6.9815 Å, c = 5.3010 Å
α = 90.00°, β = 92.14°, γ = 90.00°
Fractional coordinates of all 12 atoms:
Ac 0.0000 0.2503 0.0000
Ac 0.0000 0.7497 0.0000
Sc 0.5000 0.0000 0.5000
W 0.5000 0.5000 0.5000
O 0.2255 0.0000 0.2234
O 0.2393 0.5000 0.2355
O 0.3299 0.2842 0.6676
O 0.3299 0.7158 0.6676
O 0.6701 0.2842 0.3324
O 0.6701 0.7158 0.3324
O 0.7607 0.5000 0.7645
O 0.7745 0.0000 0.7766

## Properties
The total energy is -7.7791 eV per atom. Its total magnetization is 0.0 μB/f.u. Its density of states at the Fermi level is 0.795 states/eV per atom.

***

Record 5
This record from the Alexandria database describes a relaxed structure of AcScWO6. The functional is PBE with a Hubbard U.

a = 5.4082 Å, b = 5.4082 Å, c = 10.6308 Å
α = 90.00°, β = 90.00°, γ = 120.00°
Fractional coordinates of all 18 atoms:
Ac 0.0000 0.0000 0.0000
Ac 0.0000 0.0000 0.5000
Sc 0.3333 0.6667 0.2500
Sc 0.6667 0.3333 0.7500
W 0.3333 0.6667 0.7500
W 0.6667 0.3333 0.2500
O 0.0216 0.3833 0.6459
O 0.0216 0.6383 0.8541
O 0.3617 0.3833 0.8541
O 0.3617 0.9784 0.6459
O 0.3833 0.0216 0.1459
O 0.3833 0.3617 0.3541
O 0.6167 0.6383 0.6459
O 0.6167 0.9784 0.8541
O 0.6383 0.0216 0.3541
O 0.6383 0.6167 0.1459
O 0.9784 0.3617 0.1459
O 0.9784 0.6167 0.3541

## Properties
The total energy is -8.2188 eV per atom. Its total magnetization is 0.0 μB/f.u. Its density of states at the Fermi level is 0.000 states/eV per atom.